Material: NaBi2PbO6
Method: DFT, PBE
State: optimized geometry

Calculated values
Formation energy from raw total energies, meV per atom: -1118
Symmetry: R3 (146)
V, A^3/atom: 15.8

```
data_NaBi2PbO6
_chemical_formula_sum 'Na1 Bi2 Pb1 O6'
_symmetry_space_group_name_H-M 'P 1'
_symmetry_Int_Tables_number 1
_symmetry_space_group_name_Hall 'P 1'
_cell_length_a 6.2675
_cell_length_b 6.2675
_cell_length_c 6.2675
_cell_angle_alpha 55.98
_cell_angle_beta 55.98
_cell_angle_gamma 55.98
loop_
_atom_site_label
_atom_site_type_symbol
_atom_site_fract_x
_atom_site_fract_y
_atom_site_fract_z
_atom_site_occupancy
Na1 Na 0.0000 0.0000 0.0000 1
Bi1 Bi 0.2798 0.2798 0.2798 1
Bi2 Bi 0.7833 0.7833 0.7833 1
Pb1 Pb 0.4864 0.4864 0.4864 1
O1 O 0.0925 0.6535 0.4128 1
O2 O 0.1920 0.5831 0.8618 1
O3 O 0.4128 0.0925 0.6535 1
O4 O 0.5831 0.8618 0.1920 1
O5 O 0.6535 0.4128 0.0925 1
O6 O 0.8618 0.1920 0.5831 1
```